Model i:
This record from Alexandria via LeMat-Bulk describes an optimized crystal structure of NaW. The functional is PBE.

Lattice parameters (Å, degrees): 11.096 3.173 10.930 90.00 90.00 90.00
Atoms (fractional coordinates):
W 0.607 0.250 0.975
W 0.085 0.750 0.352
W 0.107 0.250 0.525
W 0.393 0.750 0.025
Na 0.868 0.750 0.921
Na 0.632 0.250 0.421
Na 0.368 0.750 0.579
W 0.915 0.250 0.648
W 0.585 0.750 0.148
Na 0.344 0.250 0.292
Na 0.132 0.250 0.079
W 0.415 0.250 0.852
Na 0.656 0.750 0.708
W 0.893 0.750 0.475
Na 0.156 0.750 0.792
Na 0.844 0.250 0.208

Calculated density (g cm⁻³): 7.1

---

Model ii:
This record from Alexandria via LeMat-Bulk describes an optimized crystal structure of NaW. The functional is PBE.

Lattice parameters (Å, degrees): 4.095 8.156 8.927 90.00 90.00 90.00
Atoms (fractional coordinates):
Na 0.000 0.669 0.333
W 0.000 0.036 0.500
W 0.500 0.965 0.667
Na 0.500 0.331 0.167
Na 0.000 0.669 0.667
W 0.500 0.965 0.333
W 0.000 0.035 0.167
Na 0.000 0.669 0.000
Na 0.500 0.331 0.833
Na 0.500 0.331 0.500
W 0.000 0.035 0.833
W 0.500 0.964 0.000

Calculated density (g cm⁻³): 6.9

---

Model iii:
This record from Alexandria via LeMat-Bulk describes an optimized crystal structure of NaW. The functional is PBE.

Lattice parameters (Å, degrees): 5.686 14.403 8.338 90.00 90.00 90.00
Atoms (fractional coordinates):
W 0.500 0.082 0.500
W 0.750 0.832 0.750
W 0.000 0.082 0.000
W 0.250 0.668 0.250
W 0.250 0.832 0.250
Na 0.000 0.000 0.347
Na 0.000 0.000 0.653
W 0.000 0.418 0.500
W 0.750 0.168 0.250
Na 0.250 0.750 0.903
Na 0.250 0.250 0.097
Na 0.250 0.250 0.403
Na 0.500 0.000 0.153
W 0.750 0.668 0.750
W 0.000 0.582 0.500
Na 0.750 0.250 0.903
Na 0.250 0.750 0.597
Na 0.750 0.750 0.097
Na 0.750 0.250 0.597
W 0.250 0.332 0.750
Na 0.500 0.000 0.847
Na 0.000 0.500 0.153
Na 0.500 0.500 0.653
W 0.500 0.582 0.000
W 0.000 0.918 0.000
Na 0.500 0.500 0.347
W 0.750 0.332 0.250
Na 0.750 0.750 0.403
W 0.500 0.918 0.500
Na 0.000 0.500 0.847
W 0.250 0.168 0.750
W 0.500 0.418 0.000

Calculated density (g cm⁻³): 8.0

---

Model iv:
This record from Alexandria via LeMat-Bulk describes an optimized crystal structure of NaW. The functional is PBE.

Lattice parameters (Å, degrees): 5.481 5.481 6.290 90.00 90.00 120.00
Atoms (fractional coordinates):
W 0.667 0.333 0.250
W 0.333 0.667 0.750
Na 0.333 0.667 0.250
Na 0.667 0.333 0.750

Calculated density (g cm⁻³): 4.2

---

The data favor model i; the next most stable structure lies 6.8 kJ/mol of atoms above it.

---

Model i:
This record from Alexandria via LeMat-Bulk describes an optimized crystal structure of NaW. The functional is PBE.

Lattice parameters (Å, degrees): 7.255 7.255 7.255 90.00 90.00 90.00
Atoms (fractional coordinates):
Na 0.750 0.250 0.750
W 0.000 0.500 0.500
W 0.000 0.000 0.000
Na 0.750 0.750 0.250
Na 0.250 0.750 0.750
W 0.500 0.500 0.000
W 0.500 0.000 0.500
Na 0.250 0.250 0.250

Calculated density (g cm⁻³): 3.6

---

Model ii:
This record from Alexandria via LeMat-Bulk describes an optimized crystal structure of NaW. The functional is PBE.

Lattice parameters (Å, degrees): 10.250 10.250 2.633 90.00 90.00 120.00
Atoms (fractional coordinates):
W 0.445 0.840 0.750
Na 0.060 0.289 0.750
Na 0.711 0.771 0.750
Na 0.289 0.229 0.250
W 0.605 0.445 0.250
Na 0.771 0.060 0.250
W 0.395 0.555 0.750
W 0.840 0.395 0.250
Na 0.229 0.940 0.750
W 0.555 0.160 0.250
Na 0.940 0.711 0.250
W 0.160 0.605 0.750

Calculated density (g cm⁻³): 8.6

---

Model iii:
This record from Alexandria via LeMat-Bulk describes an optimized crystal structure of NaW. The functional is PBE.

Lattice parameters (Å, degrees): 5.468 5.468 5.468 90.00 90.00 90.00
Atoms (fractional coordinates):
W 0.500 0.000 0.000
Na 0.500 0.500 0.000
Na 0.000 0.000 0.000
W 0.500 0.500 0.500
Na 0.000 0.500 0.500
W 0.000 0.500 0.000
Na 0.500 0.000 0.500
W 0.000 0.000 0.500

Calculated density (g cm⁻³): 8.4

---

The data favor model ii; the next most stable structure lies 205.8 kJ/mol of atoms above it.

---

Model i:
This record from Alexandria via LeMat-Bulk describes an optimized crystal structure of NaW. The functional is PBE.

Lattice parameters (Å, degrees): 11.054 11.054 2.655 90.00 90.00 90.00
Atoms (fractional coordinates):
W 0.440 0.897 0.500
W 0.670 0.528 0.000
Na 0.789 0.304 0.500
Na 0.034 0.192 0.000
Na 0.304 0.211 0.500
W 0.472 0.670 0.000
W 0.103 0.440 0.500
W 0.560 0.103 0.500
Na 0.808 0.034 0.000
Na 0.696 0.789 0.500
W 0.528 0.330 0.000
Na 0.192 0.966 0.000
Na 0.966 0.808 0.000
W 0.330 0.472 0.000
W 0.897 0.560 0.500
Na 0.211 0.696 0.500

Calculated density (g cm⁻³): 8.5

---

Model ii:
This record from Alexandria via LeMat-Bulk describes an optimized crystal structure of NaW. The functional is PBE.

Lattice parameters (Å, degrees): 5.786 5.786 6.064 90.00 90.00 90.00
Atoms (fractional coordinates):
Na 0.161 0.161 0.500
Na 0.339 0.661 0.000
W 0.368 0.632 0.500
W 0.868 0.868 0.000
W 0.132 0.132 0.000
Na 0.661 0.339 0.000
Na 0.839 0.839 0.500
W 0.632 0.368 0.500

Calculated density (g cm⁻³): 6.8

---

The data favor model i; the next most stable structure lies 110.5 kJ/mol of atoms above it.

---

Model i:
This record from Alexandria via LeMat-Bulk describes an optimized crystal structure of Na2YW. The functional is PBE.

Lattice parameters (Å, degrees): 4.069 4.069 12.665 80.76 80.76 90.00
Atoms (fractional coordinates):
Y 0.250 0.750 0.500
Na 0.875 0.893 0.750
Na 0.375 0.357 0.750
Na 0.107 0.625 0.250
W 0.750 0.250 0.500
Na 0.643 0.125 0.250
Y 0.500 0.500 0.000
W 0.000 0.000 0.000

Calculated density (g cm⁻³): 5.2

---

Model ii:
This record from Alexandria via LeMat-Bulk describes an optimized crystal structure of Na2YW. The functional is PBE.

Lattice parameters (Å, degrees): 5.080 5.080 5.080 60.00 60.00 60.00
Atoms (fractional coordinates):
Y 0.000 0.000 0.000
Na 0.250 0.250 0.250
Na 0.750 0.750 0.750
W 0.500 0.500 0.500

Calculated density (g cm⁻³): 5.7

---

The data favor model i; the next most stable structure lies 22.4 kJ/mol of atoms above it.